No. 1
{"formula": "ZnCoNiBi", "functional": "PBE", "state": "optimized geometry", "rho_g_cm3": 10.8, "total_magnetization_mub_per_fu": 0.8, "polymorph_energy_mev_per_atom": 0, "lattice": [[0.0000, 3.1137, 3.1137], [3.1137, 0.0000, 3.1137], [3.1137, 3.1137, 0.0000]], "species": ["Bi", "Co", "Ni", "Zn"], "fractional_positions": [[0.2500, 0.2500, 0.2500], [0.0000, 0.0000, 0.0000], [0.5000, 0.5000, 0.5000], [0.7500, 0.7500, 0.7500]]}


No. 2
{"formula": "ZrCoNiBi", "functional": "PBE", "state": "optimized geometry", "rho_g_cm3": 10.5, "total_magnetization_mub_per_fu": 0.0, "polymorph_energy_mev_per_atom": 0, "lattice": [[0.0000, 3.2091, 3.2091], [3.2091, 0.0000, 3.2091], [3.2091, 3.2091, 0.0000]], "species": ["Bi", "Co", "Ni", "Zr"], "fractional_positions": [[0.0000, 0.0000, 0.0000], [0.7500, 0.7500, 0.7500], [0.2500, 0.2500, 0.2500], [0.5000, 0.5000, 0.5000]]}


No. 3
{"formula": "ZrCoNiBi", "functional": "PBE", "state": "optimized geometry", "rho_g_cm3": 10.1, "total_magnetization_mub_per_fu": 0.6, "polymorph_energy_mev_per_atom": 274, "lattice": [[0.0000, 3.2481, 3.2481], [3.2481, 0.0000, 3.2481], [3.2481, 3.2481, 0.0000]], "species": ["Bi", "Co", "Ni", "Zr"], "fractional_positions": [[0.0000, 0.0000, 0.0000], [0.7500, 0.7500, 0.7500], [0.5000, 0.5000, 0.5000], [0.2500, 0.2500, 0.2500]]}


No. 4
{"formula": "Zr4CoNiBi2", "functional": "PBE", "state": "optimized geometry", "e_tot_ev_per_atom": -7.212, "rho_g_cm3": 8.9, "total_magnetization_mub_per_fu": 0.0, "lattice": [[5.8469, 0.0000, 0.0000], [0.0000, 3.8322, 0.0000], [-2.3750, 0.0000, 7.5208]], "species": ["Bi", "Bi", "Co", "Ni", "Zr", "Zr", "Zr", "Zr"], "fractional_positions": [[0.3877, 0.0000, 0.2098], [0.6118, 0.5000, 0.7907], [0.8952, 0.0000, 0.6997], [0.1117, 0.5000, 0.2975], [0.8371, 0.0000, 0.0965], [0.7650, 0.5000, 0.4522], [0.2333, 0.0000, 0.5559], [0.1584, 0.5000, 0.8976]]}